w | Material: NaPrInSn
Method: DFT, PBE-GGA
State: relaxed

## Properties
SG ... Pmmm, No. 47
Total magnetic moment ... 0.000 μB/cell
D(E_F) ... 0.448 states/eV per atom

abc: 4.6280 4.7603 4.9700
angles: 90.00 90.00 90.00
With the nearest neighbours (Å) after each atom.
Sites, in units of the cell vectors:
Na  0.0000  0.0000  0.0000  4 In 3.32, 4 Sn 3.40, 4 Pr 3.44
Pr  0.0000  0.5000  0.5000  4 Sn 3.32, 4 In 3.40, 4 Na 3.44
In  0.5000  0.5000  0.0000  4 Na 3.32, 4 Pr 3.40, 4 Sn 3.44
Sn  0.5000  0.0000  0.5000  4 Pr 3.32, 4 Na 3.40, 4 In 3.44

x | Material: NaPrInSn
Method: DFT, PBE-GGA
State: relaxed

## Properties
SG ... F-43m, No. 216
Total magnetic moment ... 0.000 μB/cell
D(E_F) ... 0.480 states/eV per atom

abc: 5.4237 5.4237 5.4237
angles: 60.00 60.00 60.00
With the nearest neighbours (Å) after each atom.
Sites, in units of the cell vectors:
Na  0.0000  0.0000  0.0000  4 In 3.32, 4 Sn 3.32
Pr  0.5000  0.5000  0.5000  4 Sn 3.32, 4 In 3.32
In  0.2500  0.2500  0.2500  4 Pr 3.32, 4 Na 3.32
Sn  0.7500  0.7500  0.7500  4 Na 3.32, 4 Pr 3.32

Energy above the most stable structure, in kJ/mol of atoms: w 0.0; x 7.7

w | Material: NaIn3Pt
Method: DFT, PBE-GGA
State: relaxed

## Properties
SG ... Pnma, No. 62
Total magnetic moment ... 0.000 μB/cell
D(E_F) ... 0.318 states/eV per atom

abc: 8.2237 10.5472 5.2593
angles: 90.00 90.00 90.00
With the nearest neighbours (Å) after each atom.
Sites, in units of the cell vectors:
Na  0.1443  0.2500  0.1192  7 In 2.93-3.26
Na  0.3557  0.7500  0.6192  7 In 2.93-3.26
Na  0.6443  0.2500  0.3808  7 In 2.93-3.26
Na  0.8557  0.7500  0.8808  7 In 2.93-3.26
In  0.0213  0.7500  0.3875  2 Pt 2.71, 3 Na 2.93-3.01
In  0.1691  0.5686  0.9886  3 Pt 2.82-3.11, 2 In 3.09-3.14, 1 Na 3.13
In  0.1691  0.9314  0.9886  3 Pt 2.82-3.11, 2 In 3.09-3.14, 1 Na 3.13
In  0.3309  0.0686  0.4886  3 Pt 2.82-3.11, 2 In 3.09-3.14, 1 Na 3.13
In  0.3309  0.4314  0.4886  3 Pt 2.82-3.11, 2 In 3.09-3.14, 1 Na 3.13
In  0.4787  0.2500  0.8875  2 Pt 2.71, 3 Na 2.93-3.01
In  0.5213  0.7500  0.1125  2 Pt 2.71, 3 Na 2.93-3.01
In  0.6691  0.5686  0.5114  3 Pt 2.82-3.11, 2 In 3.09-3.14, 1 Na 3.13
In  0.6691  0.9314  0.5114  3 Pt 2.82-3.11, 2 In 3.09-3.14, 1 Na 3.13
In  0.8309  0.0686  0.0114  3 Pt 2.82-3.11, 2 In 3.09-3.14, 1 Na 3.13
In  0.8309  0.4314  0.0114  3 Pt 2.82-3.11, 2 In 3.09-3.14, 1 Na 3.13
In  0.9787  0.2500  0.6125  2 Pt 2.71, 3 Na 2.93-3.01
Pt  0.0000  0.0000  0.5000  6 In 2.71-3.01
Pt  0.0000  0.5000  0.5000  6 In 2.71-3.01
Pt  0.5000  0.0000  0.0000  6 In 2.71-3.01
Pt  0.5000  0.5000  0.0000  6 In 2.71-3.01

x | Material: NaIn3Pt
Method: DFT, PBE-GGA
State: relaxed

## Properties
SG ... Pnma, No. 62
Total magnetic moment ... 0.000 μB/cell
D(E_F) ... 0.451 states/eV per atom

abc: 8.9888 4.4261 12.2554
angles: 90.00 90.00 90.00
With the nearest neighbours (Å) after each atom.
Sites, in units of the cell vectors:
Na  0.1887  0.2500  0.0087  2 Pt 3.26, 8 In 3.31-3.60
Na  0.3113  0.7500  0.5087  2 Pt 3.26, 8 In 3.31-3.60
Na  0.6887  0.2500  0.4913  2 Pt 3.26, 8 In 3.31-3.60
Na  0.8113  0.7500  0.9913  2 Pt 3.26, 8 In 3.31-3.60
In  0.0633  0.2500  0.4180  3 Pt 2.76-2.82, 1 In 3.00
In  0.0958  0.7500  0.1976  2 Pt 2.70-2.74
In  0.1552  0.7500  0.7870  2 Pt 2.87, 4 In 3.00-3.19
In  0.3448  0.2500  0.2870  2 Pt 2.87, 4 In 3.00-3.19
In  0.4042  0.2500  0.6976  2 Pt 2.70-2.74
In  0.4367  0.7500  0.9180  3 Pt 2.76-2.82, 1 In 3.00
In  0.5633  0.2500  0.0820  3 Pt 2.76-2.82, 1 In 3.00
In  0.5958  0.7500  0.3024  2 Pt 2.70-2.74
In  0.6552  0.7500  0.7130  2 Pt 2.87, 4 In 3.00-3.19
In  0.8448  0.2500  0.2130  2 Pt 2.87, 4 In 3.00-3.19
In  0.9042  0.2500  0.8024  2 Pt 2.70-2.74
In  0.9367  0.7500  0.5820  3 Pt 2.76-2.82, 1 In 3.00
Pt  0.1144  0.2500  0.6404  7 In 2.70-2.87
Pt  0.3856  0.7500  0.1404  7 In 2.70-2.87
Pt  0.6144  0.2500  0.8596  7 In 2.70-2.87
Pt  0.8856  0.7500  0.3596  7 In 2.70-2.87

Energy above the most stable structure, in kJ/mol of atoms: w 10.5; x 0.0

w | Material: NaIn3Pt
Method: DFT, PBE-GGA
State: relaxed

## Properties
SG ... Pm-3m, No. 221
Total magnetic moment ... 0.000 μB/cell
D(E_F) ... 0.568 states/eV per atom

abc: 5.2476 5.2476 5.2476
angles: 90.00 90.00 90.00
With the nearest neighbours (Å) after each atom.
Sites, in units of the cell vectors:
Na  0.0000  0.0000  0.0000  12 In 3.71
In  0.0000  0.5000  0.5000  2 Pt 2.62
In  0.5000  0.0000  0.5000  2 Pt 2.62
In  0.5000  0.5000  0.0000  2 Pt 2.62
Pt  0.5000  0.5000  0.5000  6 In 2.62

x | Material: NaIn3Pt
Method: DFT, PBE-GGA
State: relaxed

## Properties
SG ... Pm-3m, No. 221
Total magnetic moment ... 0.000 μB/cell
D(E_F) ... 0.759 states/eV per atom

abc: 5.2660 5.2660 5.2660
angles: 90.00 90.00 90.00
With the nearest neighbours (Å) after each atom.
Sites, in units of the cell vectors:
Na  0.0000  0.0000  0.0000  6 In 2.63
In  0.0000  0.0000  0.5000  2 Na 2.63
In  0.0000  0.5000  0.0000  2 Na 2.63
In  0.5000  0.0000  0.0000  2 Na 2.63
Pt  0.5000  0.5000  0.5000  12 In 3.72

Energy above the most stable structure, in kJ/mol of atoms: w 0.0; x 102.2